# LiPuGe PBE-GGA optimized geometry
# Total magnetic moment = 21.43 μB/cell
# Calculated total energy = -80.1 eV/cell
data_LiPuGe
_chemical_formula_sum 'Li4 Pu4 Ge4'
_space_group_name_H-M_alt 'F -4 3 m'
_space_group_IT_number 216
_space_group_name_Hall 'F -4 2 3'
_cell_length_a 6.633
_cell_length_b 6.633
_cell_length_c 6.633
_cell_angle_alpha 90.00
_cell_angle_beta 90.00
_cell_angle_gamma 90.00
loop_
_atom_site_label
_atom_site_type_symbol
_atom_site_fract_x
_atom_site_fract_y
_atom_site_fract_z
Li1 Li 0.000 0.000 0.000
Pu1 Pu 0.250 0.250 0.750
Ge1 Ge 0.000 0.000 0.500